# SrLa2Tb (GGA-PBE, relaxed)
# - Spin magnetization: 0.00 μB/cell
# - D(E_F): 1.34 states/eV/atom
# - E_tot: -3.92 eV/atom
# - Offset from the most stable computed form: 35 meV per atom
# - Density: 5.38 Mg/m³
data_SrLa2Tb
_symmetry_space_group_name_H-M 'P 1'
_symmetry_Int_Tables_number 1
_symmetry_space_group_name_Hall 'P 1'
_cell_length_a 4.234
_cell_length_b 4.234
_cell_length_c 9.030
_cell_angle_alpha 90.00
_cell_angle_beta 90.00
_cell_angle_gamma 90.00
loop_
_atom_site_label
_atom_site_type_symbol
_atom_site_fract_x
_atom_site_fract_y
_atom_site_fract_z
Sr1 Sr 0.000 0.000 0.000
La1 La 0.500 0.500 0.293
La2 La 0.500 0.500 0.707
Tb1 Tb 0.000 0.000 0.500